Entry from Alexandria: a relaxed KRe2Cl crystal (GGA-PBE).

abc: 3.243 3.243 8.256
angles: 90.00 90.00 90.00
Atoms (fractional coordinates):
Re 0.000 0.000 0.103
Re 0.000 0.000 0.397
K 0.500 0.500 0.750
Cl 0.500 0.500 0.250

Uncorrected formation energy, eV/atom: 1.87
Energy, eV/atom: -5.09
Offset from the most stable computed form, eV per atom: 1.733

***

Entry from Alexandria: a relaxed K2ReCl crystal (GGA-PBE).

abc: 9.885 9.885 9.885
angles: 160.76 156.78 30.33
Atoms (fractional coordinates):
Re 0.441 0.441 0.000
K 0.069 0.069 0.000
K 0.788 0.288 0.500
Cl 0.203 0.703 0.500

Uncorrected formation energy, eV/atom: 0.56
Energy, eV/atom: -3.56
Offset from the most stable computed form, eV per atom: 0.214

***

Entry from Alexandria: a relaxed KRe2Cl crystal (GGA-PBE).

abc: 2.788 4.598 7.613
angles: 90.00 90.00 90.00
Atoms (fractional coordinates):
Re 0.000 0.000 0.000
Re 0.500 0.500 0.000
K 0.000 0.500 0.500
Cl 0.500 0.000 0.500

Uncorrected formation energy, eV/atom: 0.85
Energy, eV/atom: -6.11
Offset from the most stable computed form, eV per atom: 0.715

***

Entry from Alexandria: a relaxed KReCl3 crystal (GGA-PBE).

abc: 3.659 9.678 8.480
angles: 60.55 89.55 109.21
Atoms (fractional coordinates):
K 0.424 0.096 0.385
K 0.532 0.749 0.036
Re 0.788 0.518 0.694
Re 0.168 0.328 0.728
Cl 0.983 0.699 0.372
Cl 0.318 0.065 0.774
Cl 0.638 0.781 0.648
Cl 0.973 0.147 0.049
Cl 0.773 0.470 0.994
Cl 0.184 0.376 0.428

Uncorrected formation energy, eV/atom: -1.01
Energy, eV/atom: -4.83
Offset from the most stable computed form, eV per atom: 0.000